# Mg2AsHPd6

A relaxed structure of Mg2AsHPd6 (PBE-GGA, Alexandria).

Values from the calculation:
- total energy (eV per atom) = -4.6880

a = 5.727 Å, b = 6.572 Å, c = 5.838 Å
α = 127.03°, β = 109.68°, γ = 94.81°
Positions (direct):
Mg 0.697 0.206 0.489
Mg 0.303 0.795 0.511
As 0.500 0.500 0.000
H 0.000 0.000 0.000
Pd 0.680 0.728 0.859
Pd 0.851 0.857 0.554
Pd 0.320 0.273 0.141
Pd 0.818 0.297 0.110
Pd 0.148 0.144 0.445
Pd 0.181 0.704 0.890